No. 1
A plane-wave DFT calculation with GGA-PBE was carried out for an optimized crystal structure of ZnSiClF6.

Geometry as POSCAR:
```
ZnSiClF6
1.0
5.163 0.000 0.000
-2.581 4.471 0.000
0.000 0.000 6.930
Zn Si Cl F
1 1 1 6
Cartesian
0.000 0.000 0.000
0.000 2.981 0.000
2.581 1.490 3.465
-0.645 1.719 0.978
-1.415 3.054 5.952
0.645 1.719 5.952
-0.771 4.170 0.978
1.415 3.054 0.978
0.771 4.170 5.952
```

Values from the calculation:
- Spin magnetization: 1.00 μB per cell
- Formation energy (no corrections): -2.3086 eV per atom

No. 2
A plane-wave DFT calculation with GGA-PBE was carried out for an optimized crystal structure of ZrSiCl2F.

Geometry as POSCAR:
```
ZrSiCl2F
1.0
4.885 0.000 0.000
0.000 4.885 0.000
0.000 0.000 5.514
Zr Si Cl F
1 1 2 1
Cartesian
0.000 0.000 0.000
0.000 0.000 2.757
0.000 2.442 0.000
2.442 0.000 0.000
2.442 2.442 2.757
```

Values from the calculation:
- Spin magnetization: 0.00 μB per cell
- Formation energy (no corrections): -0.6496 eV per atom

No. 3
A plane-wave DFT calculation with GGA-PBE was carried out for an optimized crystal structure of Sm2ClF.

Geometry as POSCAR:
```
Sm2ClF
1.0
1.825 1.053 8.964
-1.825 1.053 8.964
0.000 -2.107 8.964
Sm Cl F
2 1 1
Cartesian
0.000 0.000 2.216
0.000 0.000 24.677
0.000 0.000 13.446
0.000 0.000 0.000
```

Values from the calculation:
- Spin magnetization: 0.00 μB per cell
- Formation energy (no corrections): -1.8317 eV per atom

Among the records above, which one has the highest formation energy (no corrections)? ZrSiCl2F

The highest spin magnetization belongs to which entry? ZnSiClF6